Entry 1:
K2PAu after structural relaxation, computed with PBE.

Results
SG: No. 47
DOS(E_F) in states/eV per cell: 1.02
Final energy in eV per atom: -2.709
Energy relative to the elements in eV per atom: 0.01

a = 3.6312 Å, b = 4.8166 Å, c = 6.0083 Å
α = 90.00°, β = 90.00°, γ = 90.00°
Closest atoms and distances in Å follow each position.
Element x y z (fractional)
K1 0.0000 0.0000 0.2426  2 K 2.91-3.09
K2 0.0000 0.0000 0.7574  2 K 2.91-3.09
P1 0.5000 0.5000 0.0000  2 Au 3.00, 8 K 3.35
Au1 0.5000 0.5000 0.5000  2 P 3.00

***

Entry 2:
PrYCd2 after structural relaxation, computed with PBE.

Results
Polymorph energy (0 for the lowest one) in meV/atom: 0
SG: No. 225
DOS(E_F) in states/eV per cell: 4.10
Final energy in eV per atom: -3.601
Energy relative to the elements in eV per atom: -0.33

a = 5.4047 Å, b = 5.4047 Å, c = 5.4047 Å
α = 60.00°, β = 60.00°, γ = 60.00°
Closest atoms and distances in Å follow each position.
Element x y z (fractional)
Pr1 0.0000 0.0000 0.0000  8 Cd 3.31
Y1 0.5000 0.5000 0.5000  8 Cd 3.31
Cd1 0.2500 0.2500 0.2500  4 Pr 3.31, 4 Y 3.31
Cd2 0.7500 0.7500 0.7500  4 Pr 3.31, 4 Y 3.31

***

Entry 3:
Tb4Y6Zr after structural relaxation, computed with PBE.

Results
SG: No. 128
DOS(E_F) in states/eV per cell: 32.15
Final energy in eV per atom: -5.842
Energy relative to the elements in eV per atom: 0.14

a = 8.7924 Å, b = 8.7924 Å, c = 8.9038 Å
α = 90.00°, β = 90.00°, γ = 90.00°
Closest atoms and distances in Å follow each position.
Element x y z (fractional)
Tb1 0.1445 0.3555 0.2500  8 Y 3.35-3.46, 1 Tb 3.59
Tb2 0.1445 0.3555 0.7500  8 Y 3.35-3.46, 1 Tb 3.59
Tb3 0.3555 0.8555 0.2500  8 Y 3.35-3.46, 1 Tb 3.59
Tb4 0.3555 0.8555 0.7500  8 Y 3.35-3.46, 1 Tb 3.59
Tb5 0.6445 0.1445 0.2500  8 Y 3.35-3.46, 1 Tb 3.59
Tb6 0.6445 0.1445 0.7500  8 Y 3.35-3.46, 1 Tb 3.59
Tb7 0.8555 0.6445 0.2500  8 Y 3.35-3.46, 1 Tb 3.59
Tb8 0.8555 0.6445 0.7500  8 Y 3.35-3.46, 1 Tb 3.59
Y1 0.0000 0.0000 0.1764  1 Zr 2.88, 1 Y 3.14
Y2 0.0000 0.0000 0.8236  1 Zr 2.88, 1 Y 3.14
Y3 0.1515 0.6572 0.5000  1 Zr 3.30, 6 Tb 3.35-3.46
Y4 0.1572 0.6515 0.0000  1 Zr 3.30, 6 Tb 3.35-3.46
Y5 0.3428 0.1515 0.5000  1 Zr 3.30, 6 Tb 3.35-3.46
Y6 0.3485 0.1572 0.0000  1 Zr 3.30, 6 Tb 3.35-3.46
Y7 0.5000 0.5000 0.3236  1 Zr 2.88, 1 Y 3.14
Y8 0.5000 0.5000 0.6764  1 Zr 2.88, 1 Y 3.14
Y9 0.6515 0.8428 0.0000  1 Zr 3.30, 6 Tb 3.35-3.46
Y10 0.6572 0.8485 0.5000  1 Zr 3.30, 6 Tb 3.35-3.46
Y11 0.8428 0.3485 0.0000  1 Zr 3.30, 6 Tb 3.35-3.46
Y12 0.8485 0.3428 0.5000  1 Zr 3.30, 6 Tb 3.35-3.46
Zr1 0.0000 0.0000 0.5000  2 Y 2.88
Zr2 0.5000 0.5000 0.0000  2 Y 2.88

***

Entry 4:
Sm2Dy2ErMg5 after structural relaxation, computed with PBE.

Results
SG: No. 127
DOS(E_F) in states/eV per cell: 13.46
Final energy in eV per atom: -3.066
Energy relative to the elements in eV per atom: 0.05

a = 10.5864 Å, b = 10.5864 Å, c = 5.0683 Å
α = 90.00°, β = 90.00°, γ = 90.00°
Closest atoms and distances in Å follow each position.
Element x y z (fractional)
Sm1 0.1775 0.3225 0.0000  3 Dy 3.03-3.21
Sm2 0.3225 0.8225 0.0000  3 Dy 3.03-3.21
Sm3 0.6775 0.1775 0.0000  3 Dy 3.03-3.21
Sm4 0.8225 0.6775 0.0000  3 Dy 3.03-3.21
Dy1 0.1198 0.6198 0.0000  3 Sm 3.03-3.21, 6 Mg 3.10-3.24
Dy2 0.3802 0.1198 0.0000  3 Sm 3.03-3.21, 6 Mg 3.10-3.24
Dy3 0.6198 0.8802 0.0000  3 Sm 3.03-3.21, 6 Mg 3.10-3.24
Dy4 0.8802 0.3802 0.0000  3 Sm 3.03-3.21, 6 Mg 3.10-3.24
Er1 0.0000 0.0000 0.0000  8 Mg 3.36
Er2 0.5000 0.5000 0.0000  8 Mg 3.36
Mg1 0.0000 0.5000 0.5000  4 Dy 3.10, 4 Mg 3.28
Mg2 0.0681 0.8026 0.5000  3 Mg 3.13-3.28, 2 Dy 3.24, 2 Er 3.36
Mg3 0.1974 0.0681 0.5000  3 Mg 3.13-3.28, 2 Dy 3.24, 2 Er 3.36
Mg4 0.3026 0.5681 0.5000  3 Mg 3.13-3.28, 2 Dy 3.24, 2 Er 3.36
Mg5 0.4319 0.3026 0.5000  3 Mg 3.13-3.28, 2 Dy 3.24, 2 Er 3.36
Mg6 0.5000 0.0000 0.5000  4 Dy 3.10, 4 Mg 3.28
Mg7 0.5681 0.6974 0.5000  3 Mg 3.13-3.28, 2 Dy 3.24, 2 Er 3.36
Mg8 0.6974 0.4319 0.5000  3 Mg 3.13-3.28, 2 Dy 3.24, 2 Er 3.36
Mg9 0.8026 0.9319 0.5000  3 Mg 3.13-3.28, 2 Dy 3.24, 2 Er 3.36
Mg10 0.9319 0.1974 0.5000  3 Mg 3.13-3.28, 2 Dy 3.24, 2 Er 3.36

***

Entry 5:
Ce2MnGa6 after structural relaxation, computed with PBE.

Results
SG: No. 225
DOS(E_F) in states/eV per cell: 11.31
Final energy in eV per atom: -4.873
Energy relative to the elements in eV per atom: -0.52

a = 6.2520 Å, b = 6.2520 Å, c = 6.2520 Å
α = 60.00°, β = 60.00°, γ = 60.00°
Closest atoms and distances in Å follow each position.
Element x y z (fractional)
Ce1 0.2500 0.2500 0.2500  12 Ga 3.14
Ce2 0.7500 0.7500 0.7500  12 Ga 3.14
Mn1 0.0000 0.0000 0.0000  6 Ga 2.48
Ga1 0.2809 0.2809 0.7191  1 Mn 2.48, 4 Ga 2.74
Ga2 0.2809 0.7191 0.2809  1 Mn 2.48, 4 Ga 2.74
Ga3 0.2809 0.7191 0.7191  1 Mn 2.48, 4 Ga 2.74
Ga4 0.7191 0.2809 0.2809  1 Mn 2.48, 4 Ga 2.74
Ga5 0.7191 0.2809 0.7191  1 Mn 2.48, 4 Ga 2.74
Ga6 0.7191 0.7191 0.2809  1 Mn 2.48, 4 Ga 2.74

***

Entry 6:
AcCeCo2P2 after structural relaxation, computed with PBE.

Results
SG: No. 164
DOS(E_F) in states/eV per cell: 7.96
Final energy in eV per atom: -6.834
Energy relative to the elements in eV per atom: -0.99

a = 3.9690 Å, b = 3.9690 Å, c = 8.2860 Å
α = 90.00°, β = 90.00°, γ = 120.00°
Closest atoms and distances in Å follow each position.
Element x y z (fractional)
Ac1 0.0000 0.0000 0.0000  6 P 3.18, 6 Co 3.22
Ce1 0.0000 0.0000 0.5000  6 Co 2.96, 6 P 3.00
Co1 0.3333 0.6667 0.7268  3 P 2.29
Co2 0.6667 0.3333 0.2732  3 P 2.29
P1 0.3333 0.6667 0.2668  3 Co 2.29
P2 0.6667 0.3333 0.7332  3 Co 2.29